Compound: Co3Mo3N
Source: OQMD via LeMat-Bulk
Functional: GGA-PBE
Structure: optimized geometry

Summary:
energy: -9.03 eV/atom

```
Co3Mo3N
1.0
0.0000 5.5147 5.5147
5.5147 0.0000 5.5147
5.5147 5.5147 0.0000
Co Mo N
12 12 4
Direct
0.6250 0.6250 0.1250
0.4195 0.4195 0.4195
0.7414 0.4195 0.4195
0.4195 0.7414 0.4195
0.8305 0.8305 0.5086
0.6250 0.1250 0.6250
0.1250 0.6250 0.6250
0.6250 0.6250 0.6250
0.4195 0.4195 0.7414
0.8305 0.5086 0.8305
0.5086 0.8305 0.8305
0.8305 0.8305 0.8305
0.4520 0.0480 0.0480
0.0480 0.4520 0.0480
0.4520 0.4520 0.0480
0.7980 0.2020 0.2020
0.2020 0.7980 0.2020
0.7980 0.7980 0.2020
0.0480 0.0480 0.4520
0.4520 0.0480 0.4520
0.0480 0.4520 0.4520
0.2020 0.2020 0.7980
0.7980 0.2020 0.7980
0.2020 0.7980 0.7980
0.1250 0.1250 0.1250
0.6250 0.1250 0.1250
0.1250 0.6250 0.1250
0.1250 0.1250 0.6250
```